[1]
Entry from Alexandria: a geometry-optimized CaPrSm14 structure (PBE-GGA).

Computed properties:
The value obtained for the formation energy is 61 kJ/mol of formula units. The calculation puts the total energy at -144.44 eV/cell. For the volume, the calculation gives 34.645 Å³ per atom. Its calculated density is 6.8 g cm⁻³. The value obtained for the total moment is 0.000 μB/atom. The value obtained for the density of states at the Fermi level is 1.6570 states/eV/atom.

a = 11.7125 Å, b = 7.3894 Å, c = 12.8095 Å
α = 90.00°, β = 90.00°, γ = 90.00°
Space group Amm2 (No. 38)
Symmetry-distinct sites (fractional):
Ca  0.0000  0.0000  0.0000 [2 per cell]
Pr  0.0000  0.0000  0.4984 [2 per cell]
Sm  0.0000  0.2478  0.2504 [4 per cell]
Sm  0.2496  0.0000  0.3332 [4 per cell]
Sm  0.2523  0.0000  0.8308 [4 per cell]
Sm  0.2532  0.2463  0.5847 [8 per cell]
Sm  0.5000  0.0000  0.0000 [2 per cell]
Sm  0.5000  0.0000  0.5001 [2 per cell]
Sm  0.5000  0.2497  0.2499 [4 per cell]

[2]
Entry from Alexandria: a geometry-optimized Tb3ErBi4 structure (PBE-GGA).

Computed properties:
The value obtained for the formation energy is -670 kJ/mol of formula units. The calculation puts the total energy at -40.92 eV/cell. For the volume, the calculation gives 31.684 Å³ per atom. Its calculated density is 9.7 g cm⁻³. The distance to the lowest polymorph of the same formula is 0 meV/atom. The value obtained for the total moment is 0.000 μB/atom. The value obtained for the density of states at the Fermi level is 0.0565 states/eV/atom.

a = 6.3286 Å, b = 6.3286 Å, c = 6.3286 Å
α = 90.00°, β = 90.00°, γ = 90.00°
Space group Pm-3m (No. 221)
Symmetry-distinct sites (fractional):
Tb  0.0000  0.0000  0.5000 [3 per cell]
Er  0.5000  0.5000  0.5000 [1 per cell]
Bi  0.0000  0.0000  0.0000 [1 per cell]
Bi  0.0000  0.5000  0.5000 [3 per cell]

[3]
Entry from Alexandria: a geometry-optimized Al2ZnCr structure (PBE-GGA).

Computed properties:
The value obtained for the formation energy is 22 kJ/mol of formula units. The calculation puts the total energy at -54.47 eV/cell. For the volume, the calculation gives 14.586 Å³ per atom. Its calculated density is 4.9 g cm⁻³. The value obtained for the total moment is 0.296 μB/atom. The value obtained for the density of states at the Fermi level is 0.7329 states/eV/atom.

a = 2.7966 Å, b = 2.7966 Å, c = 25.8414 Å
α = 90.00°, β = 90.00°, γ = 120.00°
Space group R3m (No. 160, hexagonal axes)
Symmetry-distinct sites (fractional):
Al  0.0000  0.0000  0.0000 [3 per cell]
Al  0.0000  0.0000  0.1770 [3 per cell]
Zn  0.0000  0.0000  0.7548 [3 per cell]
Cr  0.0000  0.0000  0.5888 [3 per cell]